#i
Tb2SmTm7: optimized geometry, PBE-GGA.

Lattice parameters (Å, degrees): 5.475 8.362 8.362 85.38 70.89 70.89
Fractional coordinates of all 10 atoms:
Tb 0.500 0.839 0.161
Tb 0.500 0.161 0.839
Sm 0.000 0.000 0.000
Tm 0.000 0.664 0.336
Tm 0.000 0.336 0.664
Tm 0.747 0.102 0.404
Tm 0.253 0.898 0.596
Tm 0.747 0.404 0.102
Tm 0.253 0.596 0.898
Tm 0.500 0.500 0.500

Values from the calculation:
M_tot in Bohr magnetons per cell: 0.00


#ii
Tb2SmTm7: optimized geometry, PBE-GGA.

Lattice parameters (Å, degrees): 5.244 9.448 9.448 125.60 90.00 90.00
Fractional coordinates of all 10 atoms:
Tb 0.500 0.701 0.299
Tb 0.500 0.299 0.701
Sm 0.000 0.000 0.000
Tm 0.000 0.800 0.200
Tm 0.000 0.200 0.800
Tm 0.500 0.067 0.289
Tm 0.500 0.933 0.711
Tm 0.500 0.289 0.067
Tm 0.500 0.711 0.933
Tm 0.500 0.500 0.500

Values from the calculation:
M_tot in Bohr magnetons per cell: 0.00


Verdict on stability: #ii comes out at the bottom.


#i
TbSm7Tm12: optimized geometry, PBE-GGA.

Lattice parameters (Å, degrees): 9.662 9.662 9.662 109.47 109.47 109.47
Fractional coordinates of all 20 atoms:
Tb 0.000 0.000 0.000
Sm 0.500 0.500 0.000
Sm 0.000 0.500 0.500
Sm 0.500 0.000 0.500
Sm 0.500 0.500 0.500
Sm 0.000 0.000 0.500
Sm 0.500 0.000 0.000
Sm 0.000 0.500 0.000
Tm 0.504 0.752 0.752
Tm 0.000 0.752 0.248
Tm 0.496 0.248 0.248
Tm 0.000 0.248 0.752
Tm 0.752 0.000 0.248
Tm 0.752 0.504 0.752
Tm 0.248 0.000 0.752
Tm 0.248 0.496 0.248
Tm 0.752 0.752 0.504
Tm 0.248 0.248 0.496
Tm 0.752 0.248 0.000
Tm 0.248 0.752 0.000

Values from the calculation:
M_tot in Bohr magnetons per cell: 0.00


#ii
TbSm7Tm12: optimized geometry, PBE-GGA.

Lattice parameters (Å, degrees): 8.702 8.702 8.702 85.94 85.94 85.94
Fractional coordinates of all 20 atoms:
Tb 0.000 0.000 0.000
Sm 0.844 0.602 0.927
Sm 0.398 0.073 0.156
Sm 0.073 0.156 0.398
Sm 0.500 0.500 0.500
Sm 0.927 0.844 0.602
Sm 0.602 0.927 0.844
Sm 0.156 0.398 0.073
Tm 0.853 0.258 0.728
Tm 0.742 0.272 0.147
Tm 0.620 0.134 0.497
Tm 0.866 0.503 0.380
Tm 0.272 0.147 0.742
Tm 0.503 0.380 0.866
Tm 0.497 0.620 0.134
Tm 0.728 0.853 0.258
Tm 0.134 0.497 0.620
Tm 0.380 0.866 0.503
Tm 0.258 0.728 0.853
Tm 0.147 0.742 0.272

Values from the calculation:
M_tot in Bohr magnetons per cell: 0.00


Verdict on stability: #i comes out at the bottom.


#i
Tb3Sm7Tm: optimized geometry, PBE-GGA.

Lattice parameters (Å, degrees): 5.871 8.506 8.506 82.84 110.21 110.21
Fractional coordinates of all 11 atoms:
Tb 0.000 0.794 0.206
Tb 0.500 0.000 0.000
Tb 0.000 0.206 0.794
Sm 0.212 0.210 0.210
Sm 0.306 0.015 0.598
Sm 0.694 0.402 0.985
Sm 0.306 0.598 0.015
Sm 0.000 0.500 0.500
Sm 0.694 0.985 0.402
Sm 0.788 0.790 0.790
Tm 0.500 0.500 0.500

Values from the calculation:
M_tot in Bohr magnetons per cell: 0.04


#ii
Tb3Sm7Tm: optimized geometry, PBE-GGA.

Lattice parameters (Å, degrees): 5.612 10.026 9.009 106.22 128.55 89.99
Fractional coordinates of all 11 atoms:
Tb 0.280 0.000 0.780
Tb 0.000 0.500 0.000
Tb 0.720 0.000 0.220
Sm 0.913 0.829 0.913
Sm 0.853 0.708 0.353
Sm 0.684 0.361 0.184
Sm 0.316 0.639 0.816
Sm 0.500 0.000 0.500
Sm 0.147 0.292 0.647
Sm 0.087 0.171 0.087
Tm 0.500 0.500 0.500

Values from the calculation:
M_tot in Bohr magnetons per cell: 0.00


Verdict on stability: #i comes out at the bottom.


#i
Tb4SmTm7: optimized geometry, PBE-GGA.

Lattice parameters (Å, degrees): 5.799 11.466 6.670 83.31 64.23 75.35
Fractional coordinates of all 12 atoms:
Tb 0.635 0.225 0.506
Tb 0.365 0.775 0.494
Tb 0.759 0.679 0.804
Tb 0.241 0.321 0.196
Sm 0.000 0.000 0.000
Tm 0.789 0.923 0.499
Tm 0.211 0.077 0.501
Tm 0.062 0.677 0.199
Tm 0.938 0.323 0.801
Tm 0.366 0.500 0.768
Tm 0.500 0.000 0.000
Tm 0.634 0.500 0.232

Values from the calculation:
M_tot in Bohr magnetons per cell: 0.00


#ii
Tb4SmTm7: optimized geometry, PBE-GGA.

Lattice parameters (Å, degrees): 6.928 6.702 12.068 72.65 44.60 76.25
Fractional coordinates of all 12 atoms:
Tb 0.452 0.654 0.317
Tb 0.548 0.346 0.683
Tb 0.727 0.814 0.666
Tb 0.273 0.186 0.334
Sm 0.000 0.000 0.000
Tm 0.775 0.518 0.975
Tm 0.225 0.482 0.025
Tm 0.065 0.324 0.671
Tm 0.935 0.676 0.329
Tm 0.258 0.821 0.634
Tm 0.500 0.000 0.000
Tm 0.742 0.179 0.366

Values from the calculation:
M_tot in Bohr magnetons per cell: 0.00


Verdict on stability: #i comes out at the bottom.


#i
Tb2Sm5Tm5: optimized geometry, PBE-GGA.

Lattice parameters (Å, degrees): 5.021 7.945 10.691 72.75 76.42 71.58
Fractional coordinates of all 12 atoms:
Tb 0.917 0.418 0.748
Tb 0.083 0.582 0.252
Sm 0.500 0.500 0.500
Sm 0.334 0.332 0.999
Sm 0.415 0.918 0.251
Sm 0.585 0.082 0.749
Sm 0.666 0.668 0.001
Tm 0.832 0.835 0.501
Tm 0.251 0.751 0.748
Tm 0.749 0.249 0.252
Tm 0.168 0.165 0.499
Tm 0.000 0.000 0.000

Values from the calculation:
M_tot in Bohr magnetons per cell: 0.00


#ii
Tb2Sm5Tm5: optimized geometry, PBE-GGA.

Lattice parameters (Å, degrees): 5.633 6.515 12.290 107.58 90.00 115.62
Fractional coordinates of all 12 atoms:
Tb 0.082 0.163 0.704
Tb 0.918 0.837 0.296
Sm 0.194 0.387 0.472
Sm 0.747 0.493 0.778
Sm 0.253 0.507 0.222
Sm 0.806 0.613 0.528
Sm 0.000 0.000 0.000
Tm 0.500 0.000 0.500
Tm 0.690 0.380 0.029
Tm 0.570 0.140 0.244
Tm 0.430 0.860 0.756
Tm 0.310 0.620 0.971

Values from the calculation:
M_tot in Bohr magnetons per cell: 0.00


Verdict on stability: #ii comes out at the bottom.


#i
Tb4Sm5Tm: optimized geometry, PBE-GGA.

Lattice parameters (Å, degrees): 3.583 10.153 9.480 105.51 79.17 90.06
Fractional coordinates of all 10 atoms:
Tb 0.301 0.100 0.399
Tb 0.901 0.297 0.200
Tb 0.699 0.900 0.601
Tb 0.099 0.703 0.800
Sm 0.300 0.600 0.400
Sm 0.901 0.803 0.199
Sm 0.099 0.197 0.801
Sm 0.500 0.500 0.000
Sm 0.700 0.400 0.600
Tm 0.500 0.000 0.000

Values from the calculation:
M_tot in Bohr magnetons per cell: 0.00


#ii
Tb4Sm5Tm: optimized geometry, PBE-GGA.

Lattice parameters (Å, degrees): 6.005 8.064 8.064 82.03 68.14 68.14
Fractional coordinates of all 10 atoms:
Tb 0.444 0.324 0.676
Tb 0.768 0.676 0.676
Tb 0.120 0.324 0.324
Tb 0.444 0.676 0.324
Sm 0.768 0.378 0.000
Sm 0.146 0.000 0.622
Sm 0.768 0.000 0.378
Sm 0.146 0.622 0.000
Sm 0.687 0.000 0.000
Tm 0.219 0.000 0.000

Values from the calculation:
M_tot in Bohr magnetons per cell: 0.00


Verdict on stability: #ii comes out at the bottom.


#i
TbSm4Tm2: optimized geometry, PBE-GGA.

Lattice parameters (Å, degrees): 6.203 6.571 11.560 90.00 105.26 90.00
Fractional coordinates of all 14 atoms:
Tb 0.156 0.750 0.163
Tb 0.844 0.250 0.837
Sm 0.649 0.507 0.286
Sm 0.035 0.750 0.862
Sm 0.965 0.250 0.138
Sm 0.649 0.993 0.286
Sm 0.852 0.250 0.551
Sm 0.351 0.007 0.714
Sm 0.351 0.493 0.714
Sm 0.148 0.750 0.449
Tm 0.608 0.750 0.997
Tm 0.392 0.250 0.003
Tm 0.291 0.250 0.426
Tm 0.709 0.750 0.574

Values from the calculation:
M_tot in Bohr magnetons per cell: 0.00


#ii
TbSm4Tm2: optimized geometry, PBE-GGA.

Lattice parameters (Å, degrees): 12.445 12.445 6.748 97.03 97.04 150.13
Fractional coordinates of all 14 atoms:
Tb 0.425 0.675 0.500
Tb 0.675 0.425 0.000
Sm 0.711 0.174 0.862
Sm 0.174 0.711 0.362
Sm 0.185 0.794 0.895
Sm 0.794 0.185 0.395
Sm 0.040 0.149 0.605
Sm 0.563 0.600 0.138
Sm 0.600 0.563 0.638
Sm 0.149 0.040 0.105
Tm 0.620 0.301 0.449
Tm 0.921 0.103 0.051
Tm 0.103 0.921 0.551
Tm 0.301 0.620 0.949

Values from the calculation:
M_tot in Bohr magnetons per cell: 0.00


Verdict on stability: #i comes out at the bottom.


#i
Tb2Sm6Tm: optimized geometry, PBE-GGA.

Lattice parameters (Å, degrees): 3.638 9.960 9.960 56.00 90.00 90.00
Fractional coordinates of all 9 atoms:
Tb 0.500 0.178 0.178
Tb 0.500 0.822 0.822
Sm 0.000 0.512 0.159
Sm 0.000 0.841 0.488
Sm 0.000 0.488 0.841
Sm 0.500 0.685 0.315
Sm 0.000 0.159 0.512
Sm 0.500 0.315 0.685
Tm 0.000 0.000 0.000

Values from the calculation:
M_tot in Bohr magnetons per cell: 0.00


#ii
Tb2Sm6Tm: optimized geometry, PBE-GGA.

Lattice parameters (Å, degrees): 5.087 10.789 10.787 90.00 90.00 90.00
Fractional coordinates of all 18 atoms:
Tb 0.000 0.334 0.834
Tb 0.500 0.834 0.666
Tb 0.500 0.166 0.334
Tb 0.000 0.666 0.166
Sm 0.000 0.000 0.168
Sm 0.000 0.668 0.500
Sm 0.000 0.666 0.835
Sm 0.500 0.166 0.665
Sm 0.500 0.168 0.000
Sm 0.500 0.500 0.332
Sm 0.000 0.000 0.832
Sm 0.000 0.332 0.500
Sm 0.000 0.334 0.165
Sm 0.500 0.834 0.335
Sm 0.500 0.832 0.000
Sm 0.500 0.500 0.668
Tm 0.500 0.500 0.000
Tm 0.000 0.000 0.500

Values from the calculation:
M_tot in Bohr magnetons per cell: 0.00


Verdict on stability: #i comes out at the bottom.